No. 1
VASP calculation (GGA-PBE) on a geometry-optimized Pm3Er12Cd structure.

Lattice parameters (Å, degrees): 4.9496 4.9495 19.9597 90.00 90.00 90.00
Element x y z (fractional)
Er1 0.5000 0.5000 0.0000
Er2 0.5000 0.0000 0.8799
Er3 0.0000 0.5000 0.8799
Er4 0.0000 0.5000 0.6271
Er5 0.5000 0.5000 0.5000
Er6 0.5000 0.0000 0.3729
Er7 0.0000 0.5000 0.1201
Er8 0.5000 0.0000 0.6271
Er9 0.0000 0.5000 0.3729
Er10 0.5000 0.0000 0.1201
Er11 0.5000 0.5000 0.2431
Er12 0.5000 0.5000 0.7569
Pm1 0.0000 0.0000 0.5000
Pm2 0.0000 0.0000 0.7524
Pm3 0.0000 0.0000 0.2476
Cd1 0.0000 0.0000 0.0000

## Properties
space group: P4/mmm, No. 123
energy: -4.37 eV per atom
spin magnetization: 0.00 μB/cell
ΔE_f: 0 meV per atom

=====

No. 2
VASP calculation (GGA-PBE) on a geometry-optimized LiCaAlIn structure.

Lattice parameters (Å, degrees): 4.9972 4.9972 4.9972 60.00 60.00 60.00
Element x y z (fractional)
Li1 0.2500 0.2500 0.2500
In1 0.0000 0.0000 0.0000
Al1 0.7500 0.7500 0.7500
Ca1 0.5000 0.5000 0.5000

## Properties
space group: F-43m, No. 216
energy: -2.80 eV per atom
spin magnetization: 0.00 μB/cell
ΔE_f: -197 meV per atom

=====

No. 3
VASP calculation (GGA-PBE) on a geometry-optimized TaTl2AsO structure.

Lattice parameters (Å, degrees): 5.5812 4.8368 5.5812 90.00 90.00 90.00
Element x y z (fractional)
Ta1 0.0000 0.0000 0.0000
As1 0.0000 0.5000 0.0000
O1 0.5000 0.5000 0.5000
Tl1 0.5000 0.0000 0.0000
Tl2 0.0000 0.0000 0.5000

## Properties
ΔE_f (raw): 0.80 eV/atom
space group: P4/mmm, No. 123
energy: -4.44 eV per atom
spin magnetization: 0.00 μB/cell

=====

No. 4
VASP calculation (GGA-PBE) on a geometry-optimized ErPuGe structure.

Lattice parameters (Å, degrees): 4.1320 4.7412 7.5717 90.00 105.84 90.00
Each line ends with the local moment (μB).
Element x y z (fractional)
Pu1 0.9878 0.0254 0.6620  5.39
Pu2 0.8723 0.5254 0.4310  5.39
Ge1 0.5372 0.5256 0.7607  -0.10
Ge2 0.3230 0.0253 0.3322  -0.10
Er1 0.6746 0.0254 0.0357  0.13
Er2 0.1855 0.5254 0.0574  0.13

## Properties
space group: Cmcm, No. 63
energy: -8.21 eV per atom
spin magnetization: 11.22 μB/cell
ΔE_f: -370 meV per atom

=====

No. 5
VASP calculation (GGA-PBE) on a geometry-optimized AlInRe2 structure.

Lattice parameters (Å, degrees): 9.2837 9.2837 9.2837 17.75 17.75 17.75
Element x y z (fractional)
Al1 0.2500 0.2500 0.2500
Re1 0.9945 0.9945 0.9945
Re2 0.5055 0.5055 0.5055
In1 0.7500 0.7500 0.7500

## Properties
space group: R-3m, No. 166
energy: -7.49 eV per atom
spin magnetization: 0.00 μB/cell
ΔE_f: 355 meV per atom

=====

No. 6
VASP calculation (GGA-PBE) on a geometry-optimized Sr2ZnIn3Ga4 structure.

Lattice parameters (Å, degrees): 4.6080 4.6080 11.6141 90.00 90.00 90.00
Element x y z (fractional)
In1 0.5000 0.0000 0.8612
In2 0.0000 0.5000 0.1388
In3 0.0000 0.0000 0.5000
Sr1 0.0000 0.5000 0.7408
Sr2 0.5000 0.0000 0.2592
Zn1 0.5000 0.5000 0.5000
Ga1 0.5000 0.5000 0.0000
Ga2 0.0000 0.0000 0.0000
Ga3 0.5000 0.0000 0.6290
Ga4 0.0000 0.5000 0.3710

## Properties
space group: P-4m2, No. 115
energy: -2.81 eV per atom
spin magnetization: 0.00 μB/cell
ΔE_f: -316 meV per atom

=====

No. 7
VASP calculation (GGA-PBE) on a geometry-optimized La3Pm3Mg2 structure.

Lattice parameters (Å, degrees): 5.5107 6.5915 16.1497 90.00 90.00 114.71
Element x y z (fractional)
Mg1 0.7673 0.5346 0.6454
Mg2 0.2327 0.4654 0.3546
Mg3 0.7673 0.5346 0.8546
Mg4 0.2327 0.4654 0.1454
Pm1 0.4735 0.9471 0.2500
Pm2 0.3552 0.7104 0.5318
Pm3 0.6448 0.2896 0.0318
Pm4 0.6448 0.2896 0.4682
Pm5 0.5265 0.0529 0.7500
Pm6 0.3552 0.7104 0.9682
La1 0.9620 0.9239 0.3940
La2 0.0380 0.0761 0.8940
La3 0.7405 0.4811 0.2500
La4 0.2595 0.5189 0.7500
La5 0.0380 0.0761 0.6060
La6 0.9620 0.9239 0.1060

## Properties
space group: Cmcm, No. 63
energy: -3.98 eV per atom
spin magnetization: 0.00 μB/cell
ΔE_f: 51 meV per atom

=====

No. 8
VASP calculation (GGA-PBE) on a geometry-optimized BaPuBiAu structure.

Lattice parameters (Å, degrees): 5.6686 5.6686 5.6686 60.00 60.00 60.00
Each line ends with the local moment (μB).
Element x y z (fractional)
Bi1 0.2500 0.2500 0.2500  -0.10
Au1 0.7500 0.7500 0.7500  0.00
Ba1 0.0000 0.0000 0.0000  0.04
Pu1 0.5000 0.5000 0.5000  5.64

## Properties
space group: F-43m, No. 216
energy: -6.33 eV per atom
spin magnetization: 6.01 μB/cell
ΔE_f: -472 meV per atom

=====

No. 9
VASP calculation (GGA-PBE) on a geometry-optimized Cr2CoTc structure.

Lattice parameters (Å, degrees): 2.5401 2.5401 7.5428 90.00 90.00 90.00
Element x y z (fractional)
Cr1 0.5000 0.5000 0.2374
Cr2 0.0000 0.0000 0.9884
Tc1 0.0000 0.0000 0.5106
Co1 0.5000 0.5000 0.7637

## Properties
space group: P4mm, No. 99
energy: -9.01 eV per atom
spin magnetization: 0.00 μB/cell
ΔE_f: 167 meV per atom

=====

No. 10
VASP calculation (GGA-PBE) on a geometry-optimized KTbP2Pt4 structure.

Lattice parameters (Å, degrees): 4.0378 4.0378 10.6770 90.00 90.00 90.00
Element x y z (fractional)
Pt1 0.5000 0.0000 0.7973
Pt2 0.0000 0.5000 0.7973
Pt3 0.0000 0.5000 0.2027
Pt4 0.5000 0.0000 0.2027
Tb1 0.0000 0.0000 0.0000
P1 0.5000 0.5000 0.3149
P2 0.5000 0.5000 0.6851
K1 0.0000 0.0000 0.5000

## Properties
space group: P4/mmm, No. 123
energy: -5.84 eV per atom
spin magnetization: 0.00 μB/cell
ΔE_f: -749 meV per atom

=====

No. 11
VASP calculation (GGA-PBE) on a geometry-optimized NiW structure.

Lattice parameters (Å, degrees): 6.6995 7.3558 9.3260 90.00 90.00 90.00
Element x y z (fractional)
W1 0.2500 0.0752 0.2500
W2 0.2500 0.4248 0.2500
W3 0.5000 0.3252 0.5000
W4 0.2500 0.5752 0.7500
W5 0.0000 0.6748 0.0000
W6 0.7500 0.5752 0.2500
W7 0.2500 0.9248 0.7500
W8 0.0000 0.1748 0.5000
W9 0.5000 0.6748 0.5000
W10 0.7500 0.9248 0.2500
W11 0.7500 0.0752 0.7500
W12 0.7500 0.4248 0.7500
W13 0.0000 0.3252 0.0000
W14 0.5000 0.8252 0.0000
W15 0.0000 0.8252 0.5000
W16 0.5000 0.1748 0.0000
Ni1 0.6664 0.5000 0.0000
Ni2 0.4164 0.7500 0.2500
Ni3 0.4164 0.2500 0.7500
Ni4 0.0836 0.2500 0.7500
Ni5 0.5836 0.2500 0.2500
Ni6 0.9164 0.2500 0.2500
Ni7 0.9164 0.7500 0.7500
Ni8 0.8336 0.5000 0.5000
Ni9 0.0836 0.7500 0.2500
Ni10 0.6664 0.0000 0.5000
Ni11 0.1664 0.5000 0.5000
Ni12 0.1664 0.0000 0.0000
Ni13 0.5836 0.7500 0.7500
Ni14 0.3336 0.0000 0.5000
Ni15 0.8336 0.0000 0.0000
Ni16 0.3336 0.5000 0.0000

## Properties
space group: Fddd, No. 70
energy: -8.78 eV per atom
spin magnetization: 0.00 μB/cell
ΔE_f: 589 meV per atom

=====

No. 12
VASP calculation (GGA-PBE) on a geometry-optimized Zr2SiNi structure.

Lattice parameters (Å, degrees): 3.7792 3.1739 6.5386 61.02 90.00 90.00
Element x y z (fractional)
Zr1 0.0000 0.5032 0.4964
Zr2 0.0000 0.9968 0.0036
Ni1 0.5000 0.2500 0.2500
Si1 0.5000 0.7500 0.7500

## Properties
ΔE_f (raw): -0.43 eV/atom
space group: Pmmm, No. 47
energy: -7.50 eV per atom
spin magnetization: 0.00 μB/cell

=====

No. 13
VASP calculation (GGA-PBE) on a geometry-optimized K2IrBr structure.

Lattice parameters (Å, degrees): 5.5165 5.5165 5.5165 60.00 60.00 60.00
Each line ends with the local moment (μB).
Element x y z (fractional)
K1 0.0000 0.0000 0.0000  0.01
K2 0.2500 0.2500 0.2500  0.00
Ir1 0.7500 0.7500 0.7500  1.62
Br1 0.5000 0.5000 0.5000  0.17

## Properties
ΔE_f (raw): 0.46 eV/atom
space group: F-43m, No. 216
energy: -2.72 eV per atom
spin magnetization: 2.01 μB/cell

=====

No. 14
VASP calculation (GGA-PBE) on a geometry-optimized Pr2MnSi3Pt4 structure.

Lattice parameters (Å, degrees): 4.3070 4.3070 9.9654 90.00 90.00 90.00
Each line ends with the local moment (μB).
Element x y z (fractional)
Pt1 0.5000 0.0000 0.6339  0.07
Pt2 0.0000 0.0000 0.0000  0.01
Pt3 0.5000 0.5000 0.0000  -0.01
Pt4 0.0000 0.5000 0.3661  0.07
Si1 0.0000 0.0000 0.5000  -0.01
Si2 0.0000 0.5000 0.1266  0.00
Si3 0.5000 0.0000 0.8734  0.00
Mn1 0.5000 0.5000 0.5000  3.51
Pr1 0.5000 0.0000 0.2539  -0.01
Pr2 0.0000 0.5000 0.7461  -0.01

## Properties
ΔE_f (raw): -0.98 eV/atom
space group: P-4m2, No. 115
energy: -6.89 eV per atom
spin magnetization: 3.79 μB/cell

=====

No. 15
VASP calculation (GGA-PBE) on a geometry-optimized CaDyRh2 structure.

Lattice parameters (Å, degrees): 4.8271 4.8271 4.8271 60.00 60.00 60.00
Element x y z (fractional)
Dy1 0.0000 0.0000 0.0000
Rh1 0.2500 0.2500 0.2500
Rh2 0.7500 0.7500 0.7500
Ca1 0.5000 0.5000 0.5000

## Properties
space group: Fm-3m, No. 225
energy: -5.95 eV per atom
spin magnetization: 0.00 μB/cell
ΔE_f: -624 meV per atom

=====

No. 16
VASP calculation (GGA-PBE) on a geometry-optimized SbPtO3 structure.

Lattice parameters (Å, degrees): 4.0169 4.0169 4.0169 90.00 90.00 90.00
Element x y z (fractional)
O1 0.0000 0.0000 0.5000
O2 0.5000 0.0000 0.0000
O3 0.0000 0.5000 0.0000
Sb1 0.5000 0.5000 0.5000
Pt1 0.0000 0.0000 0.0000

## Properties
ΔE_f (raw): -0.15 eV/atom
space group: Pm-3m, No. 221
energy: -5.16 eV per atom
spin magnetization: 0.00 μB/cell

=====

No. 17
VASP calculation (GGA-PBE) on a geometry-optimized K2Ga3Au4 structure.

Lattice parameters (Å, degrees): 5.9863 8.0302 9.2849 90.00 108.81 90.00
Element x y z (fractional)
Au1 0.7829 0.0294 0.5658
Au2 0.2171 0.9706 0.4342
Au3 0.2829 0.4706 0.5658
Au4 0.7171 0.5294 0.4342
Au5 0.1960 0.7500 0.8919
Au6 0.6960 0.7500 0.8919
Au7 0.8040 0.2500 0.1081
Au8 0.3040 0.2500 0.1081
Ga1 0.4559 0.2500 0.4119
Ga2 0.5441 0.7500 0.5881
Ga3 0.9559 0.2500 0.4119
Ga4 0.0441 0.7500 0.5881
Ga5 0.0000 0.0000 0.0000
Ga6 0.5000 0.5000 0.0000
K1 0.8906 0.3920 0.7813
K2 0.1094 0.6080 0.2187
K3 0.6094 0.8920 0.2187
K4 0.3906 0.1080 0.7813

## Properties
space group: Cmce, No. 64
energy: -2.97 eV per atom
spin magnetization: 0.00 μB/cell
ΔE_f: -265 meV per atom

=====

No. 18
VASP calculation (GGA-PBE) on a geometry-optimized CoNi2Ag structure.

Lattice parameters (Å, degrees): 5.0741 5.0741 5.0741 149.32 129.09 60.62
Each line ends with the local moment (μB).
Element x y z (fractional)
Ag1 0.4995 0.4995 0.0000  -0.01
Ni1 0.0033 0.0033 0.0000  0.58
Ni2 0.7681 0.2681 0.5000  0.63
Co1 0.2292 0.7292 0.5000  1.82

## Properties
space group: Imm2, No. 44
energy: -5.07 eV per atom
spin magnetization: 2.89 μB/cell
ΔE_f: 305 meV per atom

=====

No. 19
VASP calculation (GGA-PBE) on a geometry-optimized Hf2AlRh6 structure.

Lattice parameters (Å, degrees): 4.2101 6.1543 7.1913 115.33 106.93 90.00
Element x y z (fractional)
Rh1 0.5000 0.2249 0.0000
Rh2 0.8384 0.5941 0.6735
Rh3 0.1616 0.4059 0.3265
Rh4 0.1616 0.9206 0.3265
Rh5 0.5000 0.7751 0.0000
Rh6 0.8384 0.0794 0.6735
Hf1 0.6583 0.6609 0.3218
Hf2 0.3417 0.3391 0.6782
Al1 0.0000 0.0000 0.0000

## Properties
space group: C2/m, No. 12
energy: -7.90 eV per atom
spin magnetization: 0.00 μB/cell
ΔE_f: -370 meV per atom

=====

No. 20
VASP calculation (GGA-PBE) on a geometry-optimized PuHfZn structure.

Lattice parameters (Å, degrees): 3.1298 3.1298 6.8585 103.19 103.19 90.00
Each line ends with the local moment (μB).
Element x y z (fractional)
Pu1 0.0042 0.0042 0.0085  5.19
Zn1 0.6756 0.6756 0.3512  0.00
Hf1 0.3202 0.3202 0.6403  -0.16

## Properties
space group: I4mm, No. 107
energy: -8.53 eV per atom
spin magnetization: 5.18 μB/cell
ΔE_f: -7 meV per atom